Material: CaCdPd
Method: DFT, meta-GGA SCAN
State: PBEsol geometry

Size of the total moment (μB/atom): 0.00
E_form (meV/atom): -651
Symmetry: Pnma, No. 62

Unit cell a=7.167 b=4.279 c=8.454 alpha=90.00 beta=90.00 gamma=90.00
Atoms (fractional coordinates):
Ca1 0.034 0.250 0.179
Ca2 0.466 0.750 0.679
Ca3 0.534 0.250 0.321
Ca4 0.966 0.750 0.821
Cd1 0.143 0.250 0.562
Cd2 0.357 0.750 0.062
Cd3 0.643 0.250 0.938
Cd4 0.857 0.750 0.438
Pd1 0.240 0.750 0.371
Pd2 0.260 0.250 0.871
Pd3 0.740 0.750 0.129
Pd4 0.760 0.250 0.629